# 1
Material: SiBi2Cl
Method: DFT, SCAN
State: PBEsol geometry

distance to the lowest polymorph of the same formula	0.045	eV per atom
Fermi-level density of states	1.4	states/eV/f.u.
space-group type	No. 225
E	-174.33	eV for the cell shown

Lattice parameters (Å, degrees): 5.0693 5.0693 5.0693 60.00 60.00 60.00
Sites, in units of the cell vectors:
Si 0.0000 0.0000 0.0000
Bi 0.2500 0.2500 0.2500
Bi 0.7500 0.7500 0.7500
Cl 0.5000 0.5000 0.5000

=====

# 2
Material: SiSnBiCl2
Method: DFT, SCAN
State: PBEsol geometry

Fermi-level density of states	2.1	states/eV/f.u.
space-group type	No. 123
E	-139.08	eV for the cell shown

Lattice parameters (Å, degrees): 5.0262 5.0262 6.0723 90.00 90.00 90.00
Sites, in units of the cell vectors:
Si 0.0000 0.0000 0.0000
Sn 0.5000 0.5000 0.5000
Bi 0.5000 0.5000 0.0000
Cl 0.0000 0.5000 0.5000
Cl 0.5000 0.0000 0.5000

=====

# 3
Material: SnBiCl3
Method: DFT, SCAN
State: PBEsol geometry

Fermi-level density of states	4.9	states/eV/f.u.
space-group type	No. 221
E	-139.39	eV for the cell shown

Lattice parameters (Å, degrees): 5.4518 5.4518 5.4518 90.00 90.00 90.00
Sites, in units of the cell vectors:
Sn 0.0000 0.0000 0.0000
Bi 0.5000 0.5000 0.5000
Cl 0.0000 0.5000 0.5000
Cl 0.5000 0.0000 0.5000
Cl 0.5000 0.5000 0.0000

=====

# 4
Material: TaBi2Cl
Method: DFT, SCAN
State: PBEsol geometry

Fermi-level density of states	1.9	states/eV/f.u.
space-group type	No. 122
E	-457.87	eV for the cell shown

Lattice parameters (Å, degrees): 8.2008 8.2008 8.2008 133.22 133.22 68.32
Sites, in units of the cell vectors:
Ta 0.0000 0.0000 0.0000
Ta 0.7500 0.2500 0.5000
Bi 0.0767 0.6250 0.9517
Bi 0.3750 0.3267 0.4517
Bi 0.6733 0.1250 0.0483
Bi 0.8750 0.9233 0.5483
Cl 0.2500 0.7500 0.5000
Cl 0.5000 0.5000 0.0000

=====

# 5
Material: TaBiCl2
Method: DFT, SCAN
State: PBEsol geometry

Fermi-level density of states	2.6	states/eV/f.u.
space-group type	No. 166
E	-162.08	eV for the cell shown

Lattice parameters (Å, degrees): 11.7033 11.7033 11.7033 15.88 15.88 15.88
Sites, in units of the cell vectors:
Ta 0.0000 0.0000 0.0000
Bi 0.5000 0.5000 0.5000
Cl 0.0652 0.0652 0.0652
Cl 0.9348 0.9348 0.9348

=====

# 6
Material: TaZn2BiCl
Method: DFT, SCAN
State: PBEsol geometry

Fermi-level density of states	4.4	states/eV/f.u.
space-group type	No. 123
E	-176.68	eV for the cell shown

Lattice parameters (Å, degrees): 5.1590 5.1590 5.3103 90.00 90.00 90.00
Sites, in units of the cell vectors:
Ta 0.0000 0.0000 0.0000
Zn 0.0000 0.5000 0.0000
Zn 0.5000 0.0000 0.0000
Bi 0.0000 0.0000 0.5000
Cl 0.5000 0.5000 0.5000

=====

# 7
Material: TcBiCl2
Method: DFT, SCAN
State: PBEsol geometry

distance to the lowest polymorph of the same formula	0.139	eV per atom
Fermi-level density of states	1.2	states/eV/f.u.
space-group type	No. 122
E	-258.94	eV for the cell shown

Lattice parameters (Å, degrees): 6.3825 6.3825 6.3825 99.79 99.79 131.28
Sites, in units of the cell vectors:
Tc 0.0000 0.0000 0.0000
Tc 0.7500 0.2500 0.5000
Bi 0.2500 0.7500 0.5000
Bi 0.5000 0.5000 0.0000
Cl 0.0067 0.1250 0.3817
Cl 0.3750 0.9933 0.1183
Cl 0.7433 0.6250 0.6183
Cl 0.8750 0.2567 0.8817

=====

# 8
Material: TcBiCl2
Method: DFT, SCAN
State: PBEsol geometry

distance to the lowest polymorph of the same formula	0.000	eV per atom
Fermi-level density of states	2.0	states/eV/f.u.
space-group type	No. 166
E	-130.03	eV for the cell shown

Lattice parameters (Å, degrees): 10.7859 10.7859 10.7859 17.56 17.56 17.56
Sites, in units of the cell vectors:
Tc 0.0000 0.0000 0.0000
Bi 0.5000 0.5000 0.5000
Cl 0.3797 0.3797 0.3797
Cl 0.6203 0.6203 0.6203

=====

# 9
Material: Tc3BiCl
Method: DFT, SCAN
State: PBEsol geometry

Fermi-level density of states	4.9	states/eV/f.u.
space-group type	No. 221
E	-180.54	eV for the cell shown

Lattice parameters (Å, degrees): 5.1314 5.1314 5.1314 90.00 90.00 90.00
Sites, in units of the cell vectors:
Tc 0.0000 0.0000 0.5000
Tc 0.0000 0.5000 0.0000
Tc 0.5000 0.0000 0.0000
Bi 0.0000 0.0000 0.0000
Cl 0.5000 0.5000 0.5000

=====

# 10
Material: Bi2Te2Cl
Method: DFT, SCAN
State: PBEsol geometry

distance to the lowest polymorph of the same formula	0.000	eV per atom
Fermi-level density of states	2.6	states/eV/f.u.
space-group type	No. 127
E	-481.21	eV for the cell shown

Lattice parameters (Å, degrees): 8.2141 8.2141 4.2576 90.00 90.00 90.00
Sites, in units of the cell vectors:
Bi 0.1531 0.3469 0.0000
Bi 0.3469 0.8469 0.0000
Bi 0.6531 0.1531 0.0000
Bi 0.8469 0.6531 0.0000
Te 0.1521 0.6521 0.5000
Te 0.3479 0.1521 0.5000
Te 0.6521 0.8479 0.5000
Te 0.8479 0.3479 0.5000
Cl 0.0000 0.0000 0.0000
Cl 0.5000 0.5000 0.0000

=====

# 11
Material: Bi2Te2Cl
Method: DFT, SCAN
State: PBEsol geometry

distance to the lowest polymorph of the same formula	0.027	eV per atom
Fermi-level density of states	2.1	states/eV/f.u.
space-group type	No. 139
E	-240.47	eV for the cell shown

Lattice parameters (Å, degrees): 6.1965 6.1965 6.1965 121.87 121.87 86.80
Sites, in units of the cell vectors:
Bi 0.1791 0.1791 0.0000
Bi 0.8209 0.8209 0.0000
Te 0.2500 0.7500 0.5000
Te 0.7500 0.2500 0.5000
Cl 0.5000 0.5000 0.0000

=====

# 12
Material: BiTeCl
Method: DFT, SCAN
State: PBEsol geometry

space-group type	No. 186
E	-250.96	eV for the cell shown

Lattice parameters (Å, degrees): 4.2286 4.2286 12.6852 90.00 90.00 120.00
Sites, in units of the cell vectors:
Bi 0.3333 0.6667 0.0000
Bi 0.6667 0.3333 0.5000
Te 0.3333 0.6667 0.3611
Te 0.6667 0.3333 0.8611
Cl 0.0000 0.0000 0.1297
Cl 0.0000 0.0000 0.6297

=====

Calculated raw formation energy, 0.20 0.28 -0.19 0.70 -0.24 0.70 0.03 -0.11 2.24 -0.19 -0.17 -0.56 eV/atom (same order as the records).